1.
A relaxed structure of KBaPb3, computed with PBE.

Output
space group: Pm-3m (221)

Cell lengths 5.993, 5.993, 5.993 Å; angles 90.00, 90.00, 90.00 degrees
Fractional positions:
Ba 0.500 0.500 0.500
Pb 0.000 0.500 0.000
Pb 0.000 0.000 0.500
Pb 0.500 0.000 0.000
K 0.000 0.000 0.000

---

2.
A relaxed structure of KBaPb3, computed with PBE.

Output
space group: Pm-3m (221)

Cell lengths 6.437, 6.437, 6.437 Å; angles 90.00, 90.00, 90.00 degrees
Fractional positions:
K 0.500 0.500 0.500
Pb 0.000 0.500 0.000
Pb 0.500 0.000 0.000
Pb 0.000 0.000 0.500
Ba 0.000 0.000 0.000

---

Stability check: which of them is most stable? 1.

---

1.
A relaxed structure of K2BaPd2, computed with PBE.

Output
space group: P4/mbm (127)

Cell lengths 7.955, 7.955, 5.493 Å; angles 90.00, 90.00, 90.00 degrees
Fractional positions:
K 0.157 0.657 0.500
K 0.343 0.157 0.500
K 0.843 0.343 0.500
K 0.657 0.843 0.500
Ba 0.500 0.500 0.000
Ba 0.000 0.000 0.000
Pd 0.619 0.119 0.000
Pd 0.881 0.619 0.000
Pd 0.119 0.381 0.000
Pd 0.381 0.881 0.000

---

2.
A relaxed structure of K2BaPd2, computed with PBE.

Output
space group: I4/mmm (139)

Cell lengths 4.724, 4.724, 8.157 Å; angles 73.17, 73.17, 90.00 degrees
Fractional positions:
K 0.250 0.750 0.500
K 0.750 0.250 0.500
Ba 0.000 0.000 0.000
Pd 0.590 0.590 0.820
Pd 0.410 0.410 0.180

---

Stability check: which of them is most stable? 2.

---

1.
A relaxed structure of K2Ba2Pd, computed with PBE.

Output
space group: C2/m (12)

Cell lengths 4.558, 7.941, 10.583 Å; angles 50.15, 77.54, 73.34 degrees
Fractional positions:
K 0.125 0.124 0.627
K 0.875 0.876 0.373
Ba 0.617 0.654 0.111
Ba 0.383 0.346 0.889
Pd 0.000 0.000 0.000

---

2.
A relaxed structure of K2Ba2Pd, computed with PBE.

Output
space group: P4/mbm (127)

Cell lengths 8.501, 8.501, 7.787 Å; angles 90.00, 90.00, 90.00 degrees
Fractional positions:
Pd 0.500 0.500 0.000
Pd 0.000 0.000 0.000
Ba 0.683 0.183 0.000
Ba 0.183 0.317 0.000
Ba 0.317 0.817 0.000
Ba 0.817 0.683 0.000
K 0.676 0.824 0.500
K 0.176 0.676 0.500
K 0.324 0.176 0.500
K 0.824 0.324 0.500

---

Stability check: which of them is most stable? 1.

---

1.
A relaxed structure of KBa3Pt, computed with PBE.

Output
space group: Pm-3m (221)

Cell lengths 6.417, 6.417, 6.417 Å; angles 90.00, 90.00, 90.00 degrees
Fractional positions:
Pt 0.000 0.000 0.000
K 0.500 0.500 0.500
Ba 0.000 0.000 0.500
Ba 0.500 0.000 0.000
Ba 0.000 0.500 0.000

---

2.
A relaxed structure of KBa3Pt, computed with PBE.

Output
space group: Pm-3m (221)

Cell lengths 6.399, 6.399, 6.399 Å; angles 90.00, 90.00, 90.00 degrees
Fractional positions:
Pt 0.500 0.500 0.500
Ba 0.500 0.000 0.000
Ba 0.000 0.500 0.000
Ba 0.000 0.000 0.500
K 0.000 0.000 0.000

---

Stability check: which of them is most stable? 1.

---

1.
A relaxed structure of KBa2Pt2, computed with PBE.

Output
space group: I4/mmm (139)

Cell lengths 5.583, 5.583, 7.029 Å; angles 66.60, 66.60, 90.00 degrees
Fractional positions:
K 0.000 0.000 0.000
Pt 0.385 0.385 0.231
Pt 0.615 0.615 0.769
Ba 0.750 0.250 0.500
Ba 0.250 0.750 0.500

---

2.
A relaxed structure of KBa2Pt2, computed with PBE.

Output
space group: I4/mmm (139)

Cell lengths 5.809, 5.809, 7.425 Å; angles 66.97, 66.97, 90.00 degrees
Fractional positions:
Pt 0.250 0.750 0.500
Pt 0.750 0.250 0.500
K 0.000 0.000 0.000
Ba 0.671 0.671 0.658
Ba 0.329 0.329 0.342

---

3.
A relaxed structure of KBa2Pt2, computed with PBE.

Output
space group: P4/mbm (127)

Cell lengths 8.888, 8.888, 4.148 Å; angles 90.00, 90.00, 90.00 degrees
Fractional positions:
Ba 0.850 0.350 0.500
Ba 0.150 0.650 0.500
Ba 0.350 0.150 0.500
Ba 0.650 0.850 0.500
K 0.500 0.500 0.000
K 0.000 0.000 0.000
Pt 0.144 0.356 0.000
Pt 0.856 0.644 0.000
Pt 0.356 0.856 0.000
Pt 0.644 0.144 0.000

---

Stability check: which of them is most stable? 3.

---

1.
A relaxed structure of KBaTl2Pt, computed with PBE.

Output
space group: P4/mmm (123)

Cell lengths 5.556, 5.556, 5.937 Å; angles 90.00, 90.00, 90.00 degrees
Fractional positions:
Tl 0.000 0.500 0.000
Tl 0.500 0.000 0.000
Pt 0.000 0.000 0.000
K 0.500 0.500 0.500
Ba 0.000 0.000 0.500

---

2.
A relaxed structure of KBaTl2Pt, computed with PBE.

Output
space group: P4/mmm (123)

Cell lengths 5.739, 6.657, 5.739 Å; angles 90.00, 90.00, 90.00 degrees
Fractional positions:
Tl 0.500 0.000 0.000
Tl 0.000 0.000 0.500
Ba 0.000 0.500 0.000
K 0.000 0.000 0.000
Pt 0.500 0.500 0.500

---

Stability check: which of them is most stable? 1.